## 1
Density functional theory data (PBE) for a relaxed ZnCr2I2 crystal.

Lattice parameters (Å, degrees): 5.512 5.512 5.512 119.96 119.96 90.07
Sites, in units of the cell vectors:
Zn: 0.000 0.000 0.000
Cr: 0.389 0.389 0.000
Cr: 0.611 0.611 0.000
I: 0.250 0.750 0.500
I: 0.750 0.250 0.500

---

## 2
Density functional theory data (PBE) for a relaxed ZnCr2I2 crystal.

Lattice parameters (Å, degrees): 7.407 7.407 4.263 90.00 90.00 90.00
Sites, in units of the cell vectors:
Zn: 0.000 0.000 0.000
Zn: 0.500 0.500 0.000
Cr: 0.088 0.412 0.000
Cr: 0.412 0.912 0.000
Cr: 0.588 0.088 0.000
Cr: 0.912 0.588 0.000
I: 0.171 0.671 0.500
I: 0.329 0.171 0.500
I: 0.671 0.829 0.500
I: 0.829 0.329 0.500

---

Stability verdict: 1, ahead by 0.120 eV/atom